No. 1
BAs2Cl | PBE | relaxed

Lattice parameters (Å, degrees): 6.3655 6.3655 6.3655 90.00 90.00 90.00
Last column: nearest neighbours and their distance in Å.
Space group Fm-3m (No. 225)
Inequivalent atoms, fractional coordinates:
B  0.0000  0.0000  0.0000 [4 per cell]  8 As 2.76
As  0.2500  0.2500  0.2500 [8 per cell]  4 Cl 2.76, 4 B 2.76
Cl  0.0000  0.0000  0.5000 [4 per cell]  8 As 2.76

V in Å³/atom: 16.120
Total magnetic moment in μB per atom: 0.00
Total DFT energy (no corrections) in eV/atom: -3.33



No. 2
BAsCl2 | PBE | relaxed

Lattice parameters (Å, degrees): 3.1367 3.1367 29.3109 90.00 90.00 120.00
Last column: nearest neighbours and their distance in Å.
Space group R-3m (No. 166, hexagonal axes)
Inequivalent atoms, fractional coordinates:
B  0.0000  0.0000  0.0000 [3 per cell]  2 Cl 1.66
As  0.0000  0.0000  0.5000 [3 per cell]  6 As 3.14
Cl  0.0000  0.0000  0.0567 [6 per cell]  1 B 1.66

V in Å³/atom: 20.813
Total magnetic moment in μB per atom: 0.00
Total DFT energy (no corrections) in eV/atom: -3.34



No. 3
BAsCl2 | PBE | relaxed

Lattice parameters (Å, degrees): 9.0417 9.0417 9.0417 90.00 90.00 90.00
Last column: nearest neighbours and their distance in Å.
Space group Fd-3m (No. 227, origin choice 2)
Inequivalent atoms, fractional coordinates:
B  0.1250  0.1250  0.1250 [8 per cell]  4 Cl 1.96
As  0.1250  0.1250  0.6250 [8 per cell]  12 Cl 3.75, 4 As 3.92, 4 B 3.92
Cl  0.0000  0.0000  0.0000 [16 per cell]  2 B 1.96

V in Å³/atom: 23.099
Total magnetic moment in μB per atom: 0.00
Total DFT energy (no corrections) in eV/atom: -2.90



No. 4
BAsCl2 | PBE | relaxed

Lattice parameters (Å, degrees): 6.6251 6.6251 6.6251 90.00 90.00 90.00
Last column: nearest neighbours and their distance in Å.
Space group Fm-3m (No. 225)
Inequivalent atoms, fractional coordinates:
B  0.0000  0.0000  0.0000 [4 per cell]  8 Cl 2.87
As  0.0000  0.0000  0.5000 [4 per cell]  8 Cl 2.87
Cl  0.2500  0.2500  0.2500 [8 per cell]  4 As 2.87, 4 B 2.87

V in Å³/atom: 18.175
Total magnetic moment in μB per atom: 0.00
Total DFT energy (no corrections) in eV/atom: -2.52



No. 5
BAsCl2 | PBE | relaxed

Lattice parameters (Å, degrees): 3.3320 3.3320 24.6458 90.00 90.00 120.00
Last column: nearest neighbours and their distance in Å.
Space group R-3m (No. 166, hexagonal axes)
Inequivalent atoms, fractional coordinates:
B  0.0000  0.0000  0.0000 [3 per cell]  6 Cl 2.51
As  0.0000  0.0000  0.5000 [3 per cell]  2 Cl 2.50
Cl  0.0000  0.0000  0.3985 [6 per cell]  1 As 2.50, 3 B 2.51

V in Å³/atom: 19.747
Total magnetic moment in μB per atom: 0.00
Total DFT energy (no corrections) in eV/atom: -2.96



No. 6
B2AsCl | PBE | relaxed

Lattice parameters (Å, degrees): 6.0151 6.0151 6.0151 90.00 90.00 90.00
Last column: nearest neighbours and their distance in Å.
Space group Fm-3m (No. 225)
Inequivalent atoms, fractional coordinates:
B  0.2500  0.2500  0.2500 [8 per cell]  4 Cl 2.60, 4 As 2.60
As  0.0000  0.0000  0.0000 [4 per cell]  8 B 2.60
Cl  0.0000  0.0000  0.5000 [4 per cell]  8 B 2.60

V in Å³/atom: 13.602
Total magnetic moment in μB per atom: 0.00
Total DFT energy (no corrections) in eV/atom: -3.17



| no. | ΔE_f (raw) (eV per formula unit) |
| --- | --- |
| 1 | 4.5 |
| 2 | 1.6 |
| 3 | 3.4 |
| 4 | 4.9 |
| 5 | 3.2 |
| 6 | 7.2 |